# 1
Here is a relaxed YPd4Au crystal from Alexandria. Energies are from PBE-GGA.

Lattice parameters (Å, degrees): 5.3337 5.3337 5.3337 60.00 60.00 60.00
Positions (direct):
1 Au 0.0000 0.0000 0.0000
2 Pd 0.6253 0.6253 0.1242
3 Pd 0.6253 0.6253 0.6253
4 Pd 0.6253 0.1242 0.6253
5 Pd 0.1242 0.6253 0.6253
6 Y 0.2500 0.2500 0.2500

Calculated values
DFT formation energy in eV/atom: -0.572
Total magnetic moment in μB per formula unit: 0.0
Space-group type: F-43m
Energy above the most stable polymorph in this dataset in eV per atom: 0.000

***

# 2
Here is a relaxed Ho5PuP6 crystal from Alexandria. Energies are from PBE-GGA.

Lattice parameters (Å, degrees): 6.9035 6.9031 6.9017 59.99 80.40 70.52
Each line ends with the local moment (μB).
Positions (direct):
1 Ho 0.0000 0.6665 0.6671  0.02
2 Ho 0.5000 0.1672 0.6656  0.01
3 Ho 0.0000 0.3335 0.3329  0.02
4 Ho 0.5000 0.8328 0.3344  0.01
5 Ho 0.5000 0.5000 0.0000  0.01
6 P 0.7515 0.7518 0.0000  -0.04
7 P 0.2485 0.2482 0.0000  -0.04
8 P 0.2493 0.5861 0.3308  -0.05
9 P 0.7507 0.4139 0.6692  -0.05
10 P 0.7507 0.0831 0.3308  -0.05
11 P 0.2493 0.9169 0.6692  -0.05
12 Pu 0.0000 0.0000 0.0000  4.85

Calculated values
DFT formation energy in eV/atom: -1.527
Total magnetic moment in μB per formula unit: 4.8
Space-group type: C2/m

***

# 3
Here is a relaxed AgRuBr4 crystal from Alexandria. Energies are from PBE-GGA.

Lattice parameters (Å, degrees): 3.8286 8.8865 10.8861 81.22 79.87 77.56
Each line ends with the local moment (μB).
Positions (direct):
1 Ru 0.0000 0.0000 0.5000  0.60
2 Ru 0.5000 0.5000 0.0000  0.60
3 Br 0.6656 0.2301 0.9391  0.07
4 Br 0.5397 0.0731 0.3475  0.01
5 Br 0.0397 0.5731 0.8475  0.01
6 Br 0.3344 0.7699 0.0609  0.07
7 Br 0.4603 0.9269 0.6525  0.01
8 Br 0.9603 0.4269 0.1525  0.01
9 Br 0.1653 0.7301 0.4391  0.07
10 Br 0.8347 0.2699 0.5609  0.07
11 Ag 0.7497 0.7500 0.2500  0.06
12 Ag 0.2503 0.2500 0.7500  0.06

Calculated values
Total magnetic moment in μB per formula unit: 0.9
Space-group type: C2/m
Energy above the most stable polymorph in this dataset in eV per atom: 0.000
E_form (uncorrected) in eV per formula unit: -1.58

***

# 4
Here is a relaxed Cs2SnHgI4 crystal from Alexandria. Energies are from PBE-GGA.

Lattice parameters (Å, degrees): 5.0033 8.3704 11.1130 62.42 76.99 72.61
Positions (direct):
1 I 0.8767 0.9358 0.3109
2 I 0.3860 0.2926 0.9353
3 I 0.1233 0.0642 0.6891
4 I 0.6140 0.7074 0.0647
5 Sn 0.0000 0.0000 0.0000
6 Hg 0.5000 0.5000 0.5000
7 Cs 0.7997 0.6909 0.7098
8 Cs 0.2003 0.3091 0.2902

Calculated values
Total magnetic moment in μB per formula unit: 0.0
Space-group type: C2/m
E_form (uncorrected) in eV per formula unit: -7.46

***

What is the formula in the first record? YPd4Au

***

Which of these has the highest total magnetic moment? Ho5PuP6